Record 1
VASP calculation (GGA-PBE) on a relaxed MnIr2Cl crystal.

a = 4.580 Å, b = 2.886 Å, c = 4.649 Å
α = 90.74°, β = 90.00°, γ = 90.00°
Element x y z (fractional)
Mn  0.500  0.250  0.250
Ir  0.000  0.499  0.495
Ir  0.000  0.001  0.005
Cl  0.500  0.750  0.750

Volume in Å³/cell: 61.4
Raw formation energy in eV/atom: 0.49
Fermi-level density of states in states/eV per cell: 3.4
SG: P2/m

Record 2
VASP calculation (GGA-PBE) on a relaxed MnIrCl2 crystal.

a = 2.976 Å, b = 2.975 Å, c = 10.878 Å
α = 90.00°, β = 90.00°, γ = 90.00°
Element x y z (fractional)
Ir  0.500  0.500  0.250
Mn  0.500  0.500  0.750
Cl  0.000  0.000  0.894
Cl  0.000  0.000  0.606

Volume in Å³/cell: 96.3
Raw formation energy in eV/atom: 0.54
Fermi-level density of states in states/eV per cell: 2.6
SG: P4/mmm

Record 3
VASP calculation (GGA-PBE) on a relaxed MnIrCl2 crystal.

a = 3.405 Å, b = 3.469 Å, c = 7.251 Å
α = 90.00°, β = 90.00°, γ = 90.00°
Element x y z (fractional)
Cl  0.500  0.500  0.346
Cl  0.000  0.000  0.894
Ir  0.000  0.000  0.573
Mn  0.500  0.500  0.687

Volume in Å³/cell: 85.6
Raw formation energy in eV/atom: 0.10
Fermi-level density of states in states/eV per cell: 0.8
SG: Pmm2

Among the records above, which one has the lowest raw formation energy? number 3

Which value of volume does entry 3 give? 85.6 Å³/cell

Among the records above, which one has the lowest raw formation energy? number 3